Entry from the Alexandria database: YZr2Ga6 after structural relaxation (PBE).

* M_tot: 0.00 μB per formula unit
* calculated formation energy: -0.44 eV per atom
* V: 20.3 Å³ per atom
* electronic total energy: -5.072 eV per atom
* energy above the most stable polymorph in this dataset: 8.69 kJ/mol of atoms

a b c (Å): 4.163 6.750 12.981
angles (deg): 90.00 90.00 90.00
Space group Immm (No. 71)
Unique sites:
Y 0.000 0.000 0.000 [2 per cell]
Zr 0.000 0.500 0.120 [4 per cell]
Ga 0.000 0.188 0.500 [4 per cell]
Ga 0.000 0.296 0.310 [8 per cell]